The following is a PBE calculation of a relaxed PmNdMg2 crystal, from the Alexandria database.

a b c (Å): 7.752 7.752 7.752
angles (deg): 90.00 90.00 90.00
Space group Fm-3m (No. 225)
Unique sites:
1 Pm 0.000 0.000 0.000 (multiplicity 4)
2 Nd 0.000 0.000 0.500 (multiplicity 4)
3 Mg 0.250 0.250 0.250 (multiplicity 8)

Summary:
E_form: -0.115 eV/atom
ρ: 4.82 g/cm3
Uncorrected energy: -3.29 eV per atom
Magnetization: 0.00 μB/f.u.

=====

The following is a PBE calculation of a relaxed AcNdH2 crystal, from the Alexandria database.

a b c (Å): 3.7846 3.7846 18.4300
angles (deg): 90.00 90.00 120.00
Space group R-3m (No. 166, hexagonal axes)
Unique sites:
1 Ac 0.0000 0.0000 0.0000 (multiplicity 3)
2 Nd 0.0000 0.0000 0.5000 (multiplicity 3)
3 H 0.0000 0.0000 0.2388 (multiplicity 6)

Summary:
ρ: 8.13 g/cm3
Uncorrected energy: -4.24 eV per atom
Magnetization: 0.00 μB/f.u.

=====

The following is a PBE calculation of a relaxed HfNiTeI2 crystal, from the Alexandria database.

a b c (Å): 5.683 5.683 5.569
angles (deg): 90.00 90.00 90.00
Space group P4/mmm (No. 123)
Unique sites:
1 Hf 0.000 0.000 0.000 (multiplicity 1)
2 Ni 0.500 0.500 0.500 (multiplicity 1)
3 Te 0.000 0.000 0.500 (multiplicity 1)
4 I 0.000 0.500 0.000 (multiplicity 2)

Summary:
ρ: 5.71 g/cm3
Uncorrected energy: -3.98 eV per atom
Magnetization: 1.67 μB/f.u.

=====

The following is a PBE calculation of a relaxed Tl3In5 crystal, from the Alexandria database.

a b c (Å): 3.715 5.564 11.122
angles (deg): 90.00 90.00 90.00
Space group Pmm2 (No. 25)
Unique sites:
1 Tl 0.000 0.000 0.000 (multiplicity 1)
2 Tl 0.000 0.500 0.202 (multiplicity 1)
3 Tl 0.500 0.000 0.267 (multiplicity 1)
4 In 0.000 0.000 0.514 (multiplicity 1)
5 In 0.000 0.500 0.705 (multiplicity 1)
6 In 0.500 0.000 0.749 (multiplicity 1)
7 In 0.500 0.500 0.465 (multiplicity 1)
8 In 0.500 0.500 0.943 (multiplicity 1)

Summary:
E_form: 0.010 eV/atom
ρ: 8.57 g/cm3
Uncorrected energy: -2.59 eV per atom
Magnetization: 0.00 μB/f.u.

=====

The following is a PBE calculation of a relaxed CuRe3 crystal, from the Alexandria database.

a b c (Å): 2.7449 2.7449 26.7828
angles (deg): 90.00 90.00 120.00
Space group R-3m (No. 166, hexagonal axes)
Unique sites:
1 Cu 0.0000 0.0000 0.0000 (multiplicity 3)
2 Re 0.0000 0.0000 0.2502 (multiplicity 6)
3 Re 0.0000 0.0000 0.5000 (multiplicity 3)

Summary:
E_form: 0.173 eV/atom
ρ: 17.74 g/cm3
Uncorrected energy: -10.19 eV per atom
Magnetization: 0.00 μB/f.u.

=====

The following is a PBE calculation of a relaxed MgNbReSn crystal, from the Alexandria database.

a b c (Å): 3.332 3.332 6.602
angles (deg): 90.00 90.00 90.00
Space group P4mm (No. 99)
Unique sites:
1 Mg 0.000 0.000 0.000 (multiplicity 1)
2 Nb 0.000 0.000 0.558 (multiplicity 1)
3 Re 0.500 0.500 0.770 (multiplicity 1)
4 Sn 0.500 0.500 0.281 (multiplicity 1)

Summary:
E_form: -0.004 eV/atom
ρ: 9.56 g/cm3
Uncorrected energy: -7.03 eV per atom
Magnetization: 0.00 μB/f.u.

=====

> Look up the magnetization of the fourth one.

0.00 μB/f.u.